Compound: TcHgSb
Source: Alexandria via LeMat-Bulk
Functional: PBE
Structure: optimized geometry

extended XYZ file:
```
3
Lattice="0.000 3.217 3.217 3.217 0.000 3.217 3.217 3.217 0.000" Properties=species:S:1:pos:R:3 pbc="T T T"
Tc 0.000 0.000 0.000
Hg 4.825 4.825 4.825
Sb 1.608 1.608 1.608
```

- ΔE to the lowest computed polymorph (meV/atom) = 94
- formation energy (no corrections) (meV/atom) = 434
- space-group type = F-43m (216)

=====

Compound: Tc2HgSb2
Source: Alexandria via LeMat-Bulk
Functional: PBE
Structure: optimized geometry

extended XYZ file:
```
5
Lattice="-2.179 2.179 5.663 2.179 -2.179 5.663 2.179 2.179 -5.663" Properties=species:S:1:pos:R:3 pbc="T T T"
Tc 0.000 0.000 1.246
Tc 0.000 0.000 10.080
Hg 0.000 0.000 5.663
Sb 2.179 0.000 2.832
Sb 0.000 2.179 2.832
```

- ΔE to the lowest computed polymorph (meV/atom) = 266
- formation energy (no corrections) (meV/atom) = 460
- space-group type = I4/mmm (139)

=====

Compound: TcHgSb
Source: Alexandria via LeMat-Bulk
Functional: PBE
Structure: optimized geometry

extended XYZ file:
```
3
Lattice="-1.715 1.715 5.094 1.715 -1.715 5.094 1.715 1.715 -5.094" Properties=species:S:1:pos:R:3 pbc="T T T"
Tc 0.000 0.000 0.000
Hg 0.000 0.000 3.277
Sb 0.000 0.000 6.332
```

- ΔE to the lowest computed polymorph (meV/atom) = 0
- formation energy (no corrections) (meV/atom) = 340
- space-group type = I4mm (107)

=====

Compound: TcHgSb2
Source: Alexandria via LeMat-Bulk
Functional: PBE
Structure: optimized geometry

extended XYZ file:
```
4
Lattice="-2.314 2.314 3.991 2.314 -2.314 3.991 2.314 2.314 -3.991" Properties=species:S:1:pos:R:3 pbc="T T T"
Tc 0.000 0.000 0.000
Hg 0.000 0.000 3.991
Sb 2.314 0.000 1.996
Sb 0.000 2.314 1.996
```

- formation energy (no corrections) (meV/atom) = 533
- space-group type = I4/mmm (139)

=====

Compound: TcHgSb2
Source: Alexandria via LeMat-Bulk
Functional: PBE
Structure: optimized geometry

extended XYZ file:
```
4
Lattice="-1.622 2.085 7.074 1.622 -2.085 7.074 1.622 2.085 -7.074" Properties=species:S:1:pos:R:3 pbc="T T T"
Tc 0.000 0.000 0.000
Hg 1.622 0.000 3.110
Sb 0.000 0.000 7.816
Sb 0.000 2.085 4.943
```

- formation energy (no corrections) (meV/atom) = 235
- space-group type = Imm2 (44)

=====

Compound: TcHgSb2
Source: Alexandria via LeMat-Bulk
Functional: PBE
Structure: optimized geometry

extended XYZ file:
```
4
Lattice="3.164 0.000 0.000 0.000 4.231 0.000 0.000 0.000 7.812" Properties=species:S:1:pos:R:3 pbc="T T T"
Tc 0.000 0.000 0.000
Hg 1.582 2.115 3.419
Sb 0.000 0.000 5.248
Sb 1.582 2.115 0.538
```

- formation energy (no corrections) (meV/atom) = 323
- space-group type = Pmm2 (25)